DFT (PBE) results for Rb2MgPtBr6 after structural relaxation.

a b c (Å): 13.590 13.590 13.590
angles (deg): 32.55 32.55 32.55
Element x y z (fractional)
1 Rb 0.119 0.119 0.119
2 Rb 0.299 0.299 0.299
3 Rb 0.701 0.701 0.701
4 Rb 0.881 0.881 0.881
5 Mg 0.416 0.416 0.416
6 Mg 0.584 0.584 0.584
7 Pt 0.000 0.000 0.000
8 Pt 0.500 0.500 0.500
9 Br 0.137 0.619 0.619
10 Br 0.207 0.207 0.710
11 Br 0.207 0.710 0.207
12 Br 0.290 0.793 0.793
13 Br 0.381 0.381 0.863
14 Br 0.381 0.863 0.381
15 Br 0.619 0.137 0.619
16 Br 0.619 0.619 0.137
17 Br 0.710 0.207 0.207
18 Br 0.793 0.290 0.793
19 Br 0.793 0.793 0.290
20 Br 0.863 0.381 0.381

For the electronic total energy, the calculation gives -3.058 eV per atom. The calculation puts the magnetization at 1.8 μB/f.u. For the formation energy (no corrections), the calculation gives -1097.1 meV per atom. The density of states at the Fermi level is 0.31 states/eV/atom.